Compound: BeBr2
Source: the Alexandria database
Functional: PBEsol
Structure: relaxed

Summary:
uncorrected formation energy = -1.00 eV per atom
total magnetic moment = 0.00 μB per formula unit
DOS(E_F) = 0.0 states/eV/f.u.
relative energy among the computed polymorphs = 0.00 eV/f.u.

Cell lengths 5.807, 10.795, 5.522 Å; angles 90.00, 90.00, 90.00 degrees
Positions (direct):
Be 0.000 0.000 0.250
Be 0.000 0.000 0.750
Be 0.500 0.500 0.250
Be 0.500 0.500 0.750
Br 0.206 0.111 0.000
Br 0.206 0.889 0.500
Br 0.294 0.389 0.500
Br 0.294 0.611 0.000
Br 0.706 0.389 0.000
Br 0.706 0.611 0.500
Br 0.794 0.111 0.500
Br 0.794 0.889 0.000